Er6P2HSe3 | PBE | optimized geometry

a b c (Å): 8.840 8.840 7.967
angles (deg): 104.85 104.85 25.82
Sites, in units of the cell vectors:
Er (0.002, 0.002, 0.238)
Er (0.328, 0.328, 0.430)
Er (0.342, 0.342, 0.909)
Er (0.658, 0.658, 0.091)
Er (0.672, 0.672, 0.570)
Er (0.998, 0.998, 0.762)
P (0.164, 0.164, 0.330)
P (0.836, 0.836, 0.670)
H (0.500, 0.500, 0.000)
Se (0.170, 0.170, 0.834)
Se (0.500, 0.500, 0.500)
Se (0.830, 0.830, 0.166)

- Electronic total energy: -69.4 eV for the cell shown